# 1
The following is a PBE calculation of a relaxed Ac4Mg2Al crystal, from Alexandria.

As for the electronic total energy: -3.341 eV per atom. The value obtained for the calculated formation energy is -3 meV/atom.

Geometry as POSCAR:
```
Ac4Mg2Al
1.0
-6.047 3.456 -0.560
-1.150 -6.234 2.939
4.420 3.679 3.969
Ac Mg Al
4 2 1
direct
0.500 0.000 0.000
0.500 0.500 0.500
0.000 0.000 0.500
0.000 0.500 0.000
0.500 0.500 0.000
0.500 0.000 0.500
0.000 0.000 0.000
```


# 2
The following is a PBE calculation of a relaxed Dy2ZnCo crystal, from Alexandria.

As for the electronic total energy: -4.652 eV per atom. The value obtained for the calculated formation energy is -256 meV/atom.

Geometry as POSCAR:
```
Dy2ZnCo
1.0
3.888 0.000 0.000
0.000 5.596 -2.032
0.000 -0.035 7.935
Dy Zn Co
4 2 2
direct
0.750 0.207 0.444
0.250 0.793 0.556
0.250 0.786 0.088
0.750 0.214 0.912
0.250 0.368 0.218
0.750 0.632 0.782
0.750 0.667 0.287
0.250 0.333 0.713
```


# 3
The following is a PBE calculation of a relaxed CdAu2Br6 crystal, from Alexandria.

As for the electronic total energy: -2.242 eV per atom. The value obtained for the formation energy without anion corrections is -0.297 eV per atom.

Geometry as POSCAR:
```
CdAu2Br6
1.0
-1.724 -3.172 5.793
9.221 -2.645 4.172
0.267 7.641 7.140
Cd Au Br
2 4 12
direct
0.250 0.179 0.821
0.750 0.821 0.179
0.920 0.683 0.866
0.580 0.134 0.317
0.080 0.317 0.134
0.420 0.866 0.683
0.168 0.734 0.648
0.332 0.352 0.266
0.832 0.266 0.352
0.668 0.648 0.734
0.801 0.910 0.395
0.699 0.605 0.090
0.199 0.090 0.605
0.301 0.395 0.910
0.104 0.797 0.002
0.396 0.998 0.203
0.896 0.203 0.998
0.604 0.002 0.797
```


# 4
The following is a PBE calculation of a relaxed PuCuSi crystal, from Alexandria.

As for the electronic total energy: -8.260 eV per atom. The value obtained for the formation energy without anion corrections is -0.310 eV per atom.

Geometry as POSCAR:
```
PuCuSi
1.0
3.697 0.000 0.000
0.000 4.187 0.000
0.000 -2.094 3.626
Si Cu Pu
1 1 1
direct
0.167 0.000 0.000
0.167 0.667 0.333
0.667 0.333 0.667
```


# 5
The following is a PBE calculation of a relaxed RhPb2Au crystal, from Alexandria.

As for the electronic total energy: -4.416 eV per atom. The value obtained for the calculated formation energy is 96 meV/atom.

Geometry as POSCAR:
```
RhPb2Au
1.0
4.002 0.000 0.000
2.001 3.466 0.000
2.001 1.155 6.888
Rh Pb Au
1 2 1
direct
0.663 0.663 0.012
0.076 0.076 0.772
0.259 0.259 0.223
0.503 0.503 0.492
```


# 6
The following is a PBE calculation of a relaxed Li2PmPd9 crystal, from Alexandria.

As for the electronic total energy: -5.028 eV per atom. The value obtained for the calculated formation energy is -418 meV/atom.

Geometry as POSCAR:
```
Li2PmPd9
1.0
-0.926 -2.862 2.750
3.878 -0.050 1.254
-2.399 8.219 7.747
Li Pm Pd
2 1 9
direct
0.000 0.000 0.344
0.000 0.000 0.656
0.000 0.000 0.000
0.500 0.500 0.000
0.500 0.500 0.343
0.500 0.500 0.657
0.500 0.000 0.186
0.500 0.000 0.500
0.500 0.000 0.814
0.000 0.500 0.186
0.000 0.500 0.500
0.000 0.500 0.814
```